Entry from Alexandria via LeMat-Bulk: a relaxed structure of Y3Zr3UN8 (PBE).

abc: 6.680 6.680 6.786
angles: 119.48 90.00 120.00
Positions (direct):
Y  0.500  0.500  0.000
N  0.255  0.510  0.265
N  0.231  0.983  0.715
Zr  0.000  0.500  0.500
N  0.769  0.537  0.285
Zr  0.500  0.500  0.500
N  0.231  0.463  0.715
N  0.769  0.017  0.285
U  0.000  0.000  0.500
N  0.752  0.983  0.715
Zr  0.500  0.000  0.500
N  0.745  0.490  0.735
N  0.248  0.017  0.285
Y  0.000  0.000  0.000
Y  0.000  0.500  0.000

SG	R-3m (166)
formation energy (no corrections)	-1553.6	meV/atom



Entry from Alexandria via LeMat-Bulk: a relaxed structure of UZn4N4 (PBE).

abc: 5.906 5.906 6.992
angles: 90.00 90.00 98.97
Positions (direct):
N  0.790  0.790  0.981
N  0.295  0.746  0.250
N  0.705  0.254  0.750
N  0.210  0.210  0.019
Zn  0.844  0.156  0.500
Zn  0.416  0.124  0.250
Zn  0.584  0.876  0.750
N  0.790  0.790  0.519
U  0.652  0.652  0.250
N  0.746  0.295  0.250
Zn  0.156  0.844  0.000
N  0.210  0.210  0.481
Zn  0.124  0.416  0.250
Zn  0.876  0.584  0.750
U  0.348  0.348  0.750
Zn  0.156  0.844  0.500
N  0.254  0.705  0.750
Zn  0.844  0.156  0.000

SG	Cmcm (63)
formation energy (no corrections)	-158.9	meV/atom



Entry from Alexandria via LeMat-Bulk: a relaxed structure of UZn3N4 (PBE).

abc: 4.629 7.163 6.289
angles: 90.00 90.00 90.00
Positions (direct):
Zn  0.436  0.000  0.190
Zn  0.936  0.500  0.810
Zn  0.936  0.248  0.341
N  0.436  0.000  0.843
N  0.436  0.254  0.335
Zn  0.436  0.252  0.659
U  0.436  0.500  0.156
N  0.936  0.000  0.173
N  0.936  0.500  0.157
N  0.936  0.246  0.665
N  0.436  0.500  0.827
N  0.436  0.746  0.335
U  0.936  0.000  0.844
N  0.936  0.754  0.665
Zn  0.936  0.752  0.341
Zn  0.436  0.748  0.659

SG	Pmmn (59)
formation energy (no corrections)	-329.3	meV/atom



Entry from Alexandria via LeMat-Bulk: a relaxed structure of UZnN2 (PBE).

abc: 3.597 3.597 6.076
angles: 72.78 72.78 60.00
Positions (direct):
N  0.889  0.889  0.333
Zn  0.000  0.000  0.000
N  0.111  0.111  0.667
U  0.500  0.500  0.500

SG	R-3m (166)
formation energy (no corrections)	-715.7	meV/atom



Entry from Alexandria via LeMat-Bulk: a relaxed structure of U2ZnN (PBE).

abc: 3.076 3.076 9.518
angles: 80.70 80.70 60.00
Positions (direct):
U  0.888  0.888  0.336
U  0.112  0.112  0.664
Zn  0.000  0.000  0.000
N  0.500  0.500  0.500

SG	R-3m (166)
formation energy (no corrections)	-241.7	meV/atom



Entry from Alexandria via LeMat-Bulk: a relaxed structure of Zr3U2N4 (PBE).

abc: 3.217 5.569 7.728
angles: 72.10 77.99 73.21
Positions (direct):
Zr  0.220  0.377  0.184
N  0.182  0.933  0.703
Zr  0.780  0.623  0.816
N  0.398  0.306  0.898
Zr  0.000  0.000  0.000
N  0.602  0.694  0.102
N  0.818  0.067  0.297
U  0.421  0.746  0.413
U  0.579  0.254  0.587

SG	C2/m (12)
formation energy (no corrections)	-1355.6	meV/atom



Entry from Alexandria via LeMat-Bulk: a relaxed structure of ZrUN2 (PBE).

abc: 3.255 3.255 6.216
angles: 74.82 74.82 60.00
Positions (direct):
N  0.088  0.088  0.737
Zr  0.496  0.496  0.511
N  0.245  0.245  0.264
U  0.671  0.671  0.988

SG	R3m (160)
formation energy (no corrections)	-1274.7	meV/atom



Entry from Alexandria via LeMat-Bulk: a relaxed structure of Zr3U5N8 (PBE).

abc: 6.713 6.713 6.777
angles: 60.31 60.31 60.00
Positions (direct):
N  0.753  0.753  0.741
N  0.761  0.251  0.738
N  0.251  0.251  0.738
Zr  0.000  0.500  0.500
N  0.749  0.239  0.262
Zr  0.000  0.000  0.500
Zr  0.500  0.000  0.500
N  0.251  0.761  0.738
U  0.500  0.500  0.500
U  0.000  0.000  0.000
U  0.000  0.500  0.000
U  0.500  0.000  0.000
N  0.749  0.749  0.262
U  0.500  0.500  0.000
N  0.247  0.247  0.259
N  0.239  0.749  0.262

SG	R-3m (166)
formation energy (no corrections)	-1491.4	meV/atom